Below is a relaxed structure of KCu2SnF8, with properties calculated at the PBE level.

Lattice parameters (Å, degrees): 4.9759 5.2997 7.5315 77.51 81.22 82.65
Site moments in Bohr magnetons follow the coordinates.
Fractional positions:
F 0.1999 0.7826 0.8223  0.01
F 0.6961 0.7639 0.0547  0.01
Sn 0.0000 0.0000 0.0000  0.00
K 0.0000 0.0000 0.5000  0.00
F 0.8391 0.2313 0.7864  0.00
Cu 0.5633 0.5298 0.2875  0.41
Cu 0.4367 0.4702 0.7125  0.41
F 0.8001 0.2174 0.1777  0.01
F 0.4108 0.2862 0.4997  0.06
F 0.5892 0.7138 0.5003  0.06
F 0.3039 0.2361 0.9453  0.01
F 0.1609 0.7687 0.2136  0.00

ΔE_f (raw): -24.9 eV per formula unit
Space-group type: No. 2
D(E_F): 5.41 states/eV/f.u.